# Ce3UPa2As6

An optimized crystal structure of Ce3UPa2As6 (PBE, Alexandria).

```
12
Lattice="4.138 0.000 0.000 0.000 8.327 0.265 -2.069 -2.432 8.733" Properties=species:S:1:pos:R:3 pbc="T T T"
As 2.069 -0.071 2.899
As 0.000 5.967 6.100
As 0.000 1.905 5.897
As 0.000 2.033 0.095
As 2.069 3.990 3.102
As 2.069 3.863 8.904
Pa 0.000 1.956 2.987
Pa 2.069 3.940 6.012
Ce 2.069 -0.228 5.862
Ce 2.069 4.164 0.133
Ce 0.000 6.124 3.137
U 2.069 0.000 0.000
```

- energy relative to the elements (eV/f.u.) = -14.17
- calculated volume (Å³/atom) = 25.298
- final energy (Ry/atom) = -0.5521